No. 1
Material: Tb2Pa2Rh5
Method: DFT, PBE-GGA
State: optimized geometry

Properties
energy of formation	-695	meV per atom
crystal system	orthorhombic
total magnetic moment	0.0000	μB per atom

Lattice parameters (Å, degrees): 13.969 7.422 7.531 90.00 90.00 90.00
Space group Cmce (No. 64)
Unique sites:
Tb (0.202, 0.000, 0.000) (multiplicity 8)
Pa (0.000, 0.162, 0.337) (multiplicity 8)
Rh (0.000, 0.000, 0.000) (multiplicity 4)
Rh (0.122, 0.143, 0.642) (multiplicity 16)


No. 2
Material: Tb4PaRh5
Method: DFT, PBE-GGA
State: optimized geometry

Properties
energy of formation	-805	meV per atom
crystal system	tetragonal
total magnetic moment	0.0000	μB per atom

Lattice parameters (Å, degrees): 3.443 3.443 17.474 90.00 90.00 90.00
Space group P4/mmm (No. 123)
Unique sites:
Tb (0.000, 0.000, 0.099) (multiplicity 2)
Tb (0.000, 0.000, 0.296) (multiplicity 2)
Pa (0.000, 0.000, 0.500) (multiplicity 1)
Rh (0.500, 0.500, 0.000) (multiplicity 1)
Rh (0.500, 0.500, 0.200) (multiplicity 2)
Rh (0.500, 0.500, 0.412) (multiplicity 2)


No. 3
Material: TbPa2Rh
Method: DFT, PBE-GGA
State: optimized geometry

Properties
energy of formation	-113	meV per atom
crystal system	trigonal
total magnetic moment	0.0001	μB per atom

Lattice parameters (Å, degrees): 3.5621 3.5621 28.0426 90.00 90.00 120.00
Space group R-3m (No. 166, hexagonal axes)
Unique sites:
Tb (0.0000, 0.0000, 0.0000) (multiplicity 3)
Pa (0.0000, 0.0000, 0.2340) (multiplicity 6)
Rh (0.0000, 0.0000, 0.5000) (multiplicity 3)


No. 4
Material: Tb5PaRh6
Method: DFT, PBE-GGA
State: optimized geometry

Properties
energy of formation	-832	meV per atom
crystal system	monoclinic
total magnetic moment	0.0000	μB per atom

Lattice parameters (Å, degrees): 4.853 6.971 7.699 90.00 108.10 90.00
Space group P2/m (No. 10)
Unique sites:
Tb (0.000, 0.000, 0.000) (multiplicity 1)
Tb (0.329, 0.500, 0.657) (multiplicity 2)
Tb (0.332, 0.000, 0.664) (multiplicity 2)
Pa (0.000, 0.500, 0.000) (multiplicity 1)
Rh (0.153, 0.261, 0.305) (multiplicity 4)
Rh (0.500, 0.270, 0.000) (multiplicity 2)